The following is a DFT calculation (GGA+U) of a relaxed KNiPdO2 crystal.

a = 5.061 Å, b = 5.505 Å, c = 6.546 Å
α = 114.86°, β = 90.00°, γ = 90.00°
Site moments in Bohr magnetons follow the coordinates.
Fractional coordinates of all 10 atoms:
O 0.333 0.403 0.806  0.14
O 0.667 0.903 0.806  0.14
O 0.333 0.097 0.194  0.14
O 0.667 0.597 0.194  0.14
Pd 0.000 0.000 0.000  0.11
Pd 0.000 0.500 0.000  0.11
Ni 0.500 0.250 0.000  1.70
Ni 0.500 0.750 0.000  1.70
K 0.733 0.250 0.500  0.00
K 0.267 0.750 0.500  0.00

The calculation puts the uncorrected energy at -4.500 eV per atom. Its total magnetization is 4.31 Bohr magnetons per cell.